i) DFT (PBE) results for crystalline Ba2Cu2Au at its relaxed geometry.

CIF file:
```
data_Ba2Cu2Au
_cell_length_a 8.0904
_cell_length_b 8.0904
_cell_length_c 4.3908
_cell_angle_alpha 90.00
_cell_angle_beta 90.00
_cell_angle_gamma 90.00
_symmetry_space_group_name_H-M 'P 4/m b m'
_symmetry_Int_Tables_number 127
_symmetry_space_group_name_Hall '-P 4 2ab'
loop_
_atom_site_label
_atom_site_type_symbol
_atom_site_fract_x
_atom_site_fract_y
_atom_site_fract_z
_atom_site_occupancy
Ba1 Ba 0.1870 0.3130 0.0000 1
Cu1 Cu 0.1072 0.6072 0.5000 1
Au1 Au 0.0000 0.0000 0.5000 1
```

Output
size of the total moment = 0.00 μB per formula unit

***

ii) DFT (PBE) results for crystalline Ba2Cu2Au at its relaxed geometry.

CIF file:
```
data_Ba2Cu2Au
_cell_length_a 3.8196
_cell_length_b 3.8196
_cell_length_c 19.0256
_cell_angle_alpha 90.00
_cell_angle_beta 90.00
_cell_angle_gamma 90.00
_symmetry_space_group_name_H-M 'I 4/m m m'
_symmetry_Int_Tables_number 139
_symmetry_space_group_name_Hall '-I 4 2'
loop_
_atom_site_label
_atom_site_type_symbol
_atom_site_fract_x
_atom_site_fract_y
_atom_site_fract_z
_atom_site_occupancy
Ba1 Ba 0.0000 0.0000 0.1088 1
Cu1 Cu 0.0000 0.5000 0.2500 1
Au1 Au 0.0000 0.0000 0.5000 1
```

Output
size of the total moment = 0.00 μB per formula unit

***

iii) DFT (PBE) results for crystalline Ba2Cu2Au at its relaxed geometry.

CIF file:
```
data_Ba2Cu2Au
_cell_length_a 6.1689
_cell_length_b 6.1689
_cell_length_c 7.7130
_cell_angle_alpha 90.00
_cell_angle_beta 90.00
_cell_angle_gamma 90.00
_symmetry_space_group_name_H-M 'I 4/m m m'
_symmetry_Int_Tables_number 139
_symmetry_space_group_name_Hall '-I 4 2'
loop_
_atom_site_label
_atom_site_type_symbol
_atom_site_fract_x
_atom_site_fract_y
_atom_site_fract_z
_atom_site_occupancy
Ba1 Ba 0.0000 0.5000 0.2500 1
Cu1 Cu 0.0000 0.0000 0.1545 1
Au1 Au 0.0000 0.0000 0.5000 1
```

Output
size of the total moment = 0.00 μB per formula unit

***

The relative energies come out as i) 0.000; ii) 0.054; iii) 0.026, with values in eV/atom.

***

i) DFT (PBE) results for crystalline Ba2CuHAu at its relaxed geometry.

CIF file:
```
data_Ba2CuHAu
_cell_length_a 5.7481
_cell_length_b 5.7481
_cell_length_c 3.9632
_cell_angle_alpha 90.00
_cell_angle_beta 90.00
_cell_angle_gamma 90.00
_symmetry_space_group_name_H-M 'P 4/m m m'
_symmetry_Int_Tables_number 123
_symmetry_space_group_name_Hall '-P 4 2'
loop_
_atom_site_label
_atom_site_type_symbol
_atom_site_fract_x
_atom_site_fract_y
_atom_site_fract_z
_atom_site_occupancy
Ba1 Ba 0.0000 0.5000 0.0000 1
Cu1 Cu 0.0000 0.0000 0.5000 1
H1 H 0.5000 0.5000 0.0000 1
Au1 Au 0.5000 0.5000 0.5000 1
```

Output
size of the total moment = 0.00 μB per formula unit

***

ii) DFT (PBE) results for crystalline Ba2CuHAu at its relaxed geometry.

CIF file:
```
data_Ba2CuHAu
_cell_length_a 5.6992
_cell_length_b 5.6992
_cell_length_c 3.9116
_cell_angle_alpha 90.00
_cell_angle_beta 90.00
_cell_angle_gamma 90.00
_symmetry_space_group_name_H-M 'P 4/m m m'
_symmetry_Int_Tables_number 123
_symmetry_space_group_name_Hall '-P 4 2'
loop_
_atom_site_label
_atom_site_type_symbol
_atom_site_fract_x
_atom_site_fract_y
_atom_site_fract_z
_atom_site_occupancy
Ba1 Ba 0.0000 0.5000 0.0000 1
Cu1 Cu 0.0000 0.0000 0.5000 1
H1 H 0.0000 0.0000 0.0000 1
Au1 Au 0.5000 0.5000 0.5000 1
```

Output
size of the total moment = 0.00 μB per formula unit

***

The relative energies come out as i) 0.068; ii) 0.000, with values in eV/atom.

***

i) DFT (PBE) results for crystalline BaTl2CuAu at its relaxed geometry.

CIF file:
```
data_BaTl2CuAu
_cell_length_a 5.5416
_cell_length_b 5.5416
_cell_length_c 5.1157
_cell_angle_alpha 90.00
_cell_angle_beta 90.00
_cell_angle_gamma 90.00
_symmetry_space_group_name_H-M 'P 4/m m m'
_symmetry_Int_Tables_number 123
_symmetry_space_group_name_Hall '-P 4 2'
loop_
_atom_site_label
_atom_site_type_symbol
_atom_site_fract_x
_atom_site_fract_y
_atom_site_fract_z
_atom_site_occupancy
Ba1 Ba 0.0000 0.0000 0.0000 1
Tl1 Tl 0.0000 0.5000 0.5000 1
Cu1 Cu 0.5000 0.5000 0.0000 1
Au1 Au 0.5000 0.5000 0.5000 1
```

Output
size of the total moment = 0.00 μB per formula unit

***

ii) DFT (PBE) results for crystalline BaTl2CuAu at its relaxed geometry.

CIF file:
```
data_BaTl2CuAu
_cell_length_a 5.2194
_cell_length_b 5.2194
_cell_length_c 5.2298
_cell_angle_alpha 90.00
_cell_angle_beta 90.00
_cell_angle_gamma 90.00
_symmetry_space_group_name_H-M 'P 4/m m m'
_symmetry_Int_Tables_number 123
_symmetry_space_group_name_Hall '-P 4 2'
loop_
_atom_site_label
_atom_site_type_symbol
_atom_site_fract_x
_atom_site_fract_y
_atom_site_fract_z
_atom_site_occupancy
Ba1 Ba 0.0000 0.0000 0.0000 1
Tl1 Tl 0.0000 0.5000 0.5000 1
Cu1 Cu 0.5000 0.5000 0.5000 1
Au1 Au 0.5000 0.5000 0.0000 1
```

Output
size of the total moment = 0.00 μB per formula unit

***

The relative energies come out as i) 0.166; ii) 0.000, with values in eV/atom.

***

i) DFT (PBE) results for crystalline BaZnCuAu2 at its relaxed geometry.

CIF file:
```
data_BaZnCuAu2
_cell_length_a 6.1570
_cell_length_b 6.1570
_cell_length_c 6.8158
_cell_angle_alpha 90.00
_cell_angle_beta 90.00
_cell_angle_gamma 90.00
_symmetry_space_group_name_H-M 'P 4/m m m'
_symmetry_Int_Tables_number 123
_symmetry_space_group_name_Hall '-P 4 2'
loop_
_atom_site_label
_atom_site_type_symbol
_atom_site_fract_x
_atom_site_fract_y
_atom_site_fract_z
_atom_site_occupancy
Ba1 Ba 0.0000 0.0000 0.0000 1
Zn1 Zn 0.0000 0.0000 0.5000 1
Cu1 Cu 0.5000 0.5000 0.5000 1
Au1 Au 0.0000 0.5000 0.0000 1
```

Output
size of the total moment = 0.94 μB per formula unit

***

ii) DFT (PBE) results for crystalline BaZnCuAu2 at its relaxed geometry.

CIF file:
```
data_BaZnCuAu2
_cell_length_a 5.0907
_cell_length_b 5.0907
_cell_length_c 4.7125
_cell_angle_alpha 90.00
_cell_angle_beta 90.00
_cell_angle_gamma 90.00
_symmetry_space_group_name_H-M 'P 4/m m m'
_symmetry_Int_Tables_number 123
_symmetry_space_group_name_Hall '-P 4 2'
loop_
_atom_site_label
_atom_site_type_symbol
_atom_site_fract_x
_atom_site_fract_y
_atom_site_fract_z
_atom_site_occupancy
Ba1 Ba 0.0000 0.0000 0.0000 1
Zn1 Zn 0.5000 0.5000 0.0000 1
Cu1 Cu 0.5000 0.5000 0.5000 1
Au1 Au 0.0000 0.5000 0.5000 1
```

Output
size of the total moment = 0.00 μB per formula unit

***

The relative energies come out as i) 1.202; ii) 0.000, with values in eV/atom.